# 1
5
Lattice="4.798 0.000 0.000 0.000 4.589 0.000 0.000 0.000 4.798" Properties=species:S:1:pos:R:3 comment="GGA-PBE MgCd2CoPt, relaxed" e_tot_ev_per_atom=-2.687 sg="P4/mmm (123)" formation_energy_ev_per_atom=0.6270 pbc="T T T"
Pt 2.399 2.295 2.399
Cd 2.399 0.000 0.000
Cd 0.000 0.000 2.399
Co 0.000 0.000 0.000
Mg 0.000 2.295 0.000

=====

# 2
5
Lattice="-0.989 4.142 -2.393 1.062 -1.921 -3.765 -4.633 -1.437 -0.573" Properties=species:S:1:pos:R:3 comment="GGA-PBE MgCd2CoRh, relaxed" e_tot_ev_per_atom=-2.376 sg="P4/mmm (123)" formation_energy_ev_per_atom=1.2003 pbc="T T T"
Cd -0.494 2.071 -1.196
Cd -2.317 -0.719 -0.287
Rh -2.280 0.392 -3.365
Co 0.531 -0.961 -1.882
Mg 0.000 0.000 0.000

=====

# 3
4
Lattice="4.665 0.000 0.000 2.332 4.040 0.000 2.332 1.347 3.809" Properties=species:S:1:pos:R:3 comment="GGA-PBE MgScCdCo, relaxed" e_tot_ev_per_atom=-4.046 sg="F-43m (216)" formation_energy_ev_per_atom=-0.0594 pbc="T T T"
Co 0.000 0.000 0.000
Sc 6.997 4.040 2.856
Mg 2.332 1.347 0.952
Cd 4.665 2.693 1.904

=====

# 4
5
Lattice="4.739 0.000 0.000 0.000 4.940 0.000 0.000 0.000 4.739" Properties=species:S:1:pos:R:3 comment="GGA-PBE MgSc2CdCo, relaxed" e_tot_ev_per_atom=-4.525 sg="P4/mmm (123)" formation_energy_ev_per_atom=-0.0690 pbc="T T T"
Sc 2.370 0.000 0.000
Sc 0.000 0.000 2.370
Co 0.000 0.000 0.000
Mg 0.000 2.470 0.000
Cd 2.370 2.470 2.370

=====

# 5
5
Lattice="-2.466 4.184 -0.499 -4.150 -2.311 1.129 0.746 1.014 4.819" Properties=species:S:1:pos:R:3 comment="GGA-PBE MgCdCoSn2, relaxed" e_tot_ev_per_atom=-3.491 sg="P4/mmm (123)" formation_energy_ev_per_atom=0.0330 pbc="T T T"
Sn -1.233 2.092 -0.250
Sn -2.075 -1.156 0.564
Mg 0.373 0.507 2.409
Co 0.000 0.000 0.000
Cd -2.935 1.444 2.724

=====

# 6
5
Lattice="-3.116 5.133 1.671 -1.016 -1.980 4.185 5.230 2.393 2.402" Properties=species:S:1:pos:R:3 comment="GGA-PBE SrMg2CdCo, relaxed" e_above_lowest_polymorph_kcal_per_mol_atoms=30.13 e_tot_ev_per_atom=-1.255 sg="P4/mmm (123)" formation_energy_ev_per_atom=1.3234 pbc="T T T"
Mg 2.615 1.196 1.201
Mg -1.558 2.566 0.836
Co -0.508 -0.990 2.092
Sr 0.000 0.000 0.000
Cd 0.549 2.773 4.129

=====

# 7
5
Lattice="4.905 0.000 0.000 0.000 4.905 0.000 0.000 0.000 5.141" Properties=species:S:1:pos:R:3 comment="GGA-PBE SrMg2CdCo, relaxed" e_above_lowest_polymorph_kcal_per_mol_atoms=0.00 e_tot_ev_per_atom=-2.562 sg="P4/mmm (123)" formation_energy_ev_per_atom=0.0166 pbc="T T T"
Sr 2.453 2.453 2.571
Cd 0.000 0.000 2.571
Mg 2.453 0.000 0.000
Mg 0.000 2.453 0.000
Co 0.000 0.000 0.000

=====

# 8
4
Lattice="4.805 0.000 0.000 2.402 4.161 0.000 2.402 1.387 3.923" Properties=species:S:1:pos:R:3 comment="GGA-PBE TmMgCdCo, relaxed" e_tot_ev_per_atom=-3.549 sg="F-43m (216)" formation_energy_ev_per_atom=-0.0269 pbc="T T T"
Cd 7.207 4.161 2.942
Tm 4.805 2.774 1.961
Mg 0.000 0.000 0.000
Co 2.402 1.387 0.981

=====

# 9
4
Lattice="4.466 0.000 0.000 2.233 3.867 0.000 2.233 1.289 3.646" Properties=species:S:1:pos:R:3 comment="GGA-PBE MgZnCdCo, relaxed" e_tot_ev_per_atom=-2.607 sg="F-43m (216)" formation_energy_ev_per_atom=0.1155 pbc="T T T"
Co 4.466 2.578 1.823
Zn 6.699 3.867 2.735
Cd 2.233 1.289 0.912
Mg 0.000 0.000 0.000

=====

# 10
8
Lattice="6.601 0.000 0.000 0.000 6.601 0.000 3.300 3.300 2.622" Properties=species:S:1:pos:R:3 comment="GGA-PBE MnCdCo2, relaxed" e_tot_ev_per_atom=-5.396 sg="I-42d (122)" formation_energy_ev_per_atom=0.6778 pbc="T T T"
Mn 3.300 6.601 1.311
Mn 3.300 3.300 0.000
Co 1.972 4.950 0.656
Co 4.628 1.650 0.656
Co 4.950 5.273 1.967
Co 8.251 7.928 1.967
Cd 0.000 0.000 0.000
Cd 6.601 3.300 1.311

=====

# 11
6
Lattice="0.000 3.399 3.399 3.399 0.000 3.399 3.399 3.399 0.000" Properties=species:S:1:pos:R:3 comment="GGA-PBE MnCdCo4, relaxed" e_tot_ev_per_atom=-6.277 sg="F-43m (216)" formation_energy_ev_per_atom=0.1411 pbc="T T T"
Co 4.246 2.553 4.246
Co 2.553 4.246 4.246
Co 2.553 2.553 2.553
Co 4.246 4.246 2.553
Cd 0.000 0.000 0.000
Mn 5.099 5.099 5.099

=====

# 12
4
Lattice="2.651 -0.025 0.000 -0.894 2.495 0.000 0.000 0.000 8.416" Properties=species:S:1:pos:R:3 comment="GGA-PBE MnCdCo2, relaxed" e_tot_ev_per_atom=-5.767 sg="Cmmm (65)" formation_energy_ev_per_atom=0.3073 pbc="T T T"
Cd 0.878 1.235 6.312
Mn 0.878 1.235 2.104
Co 0.000 0.000 0.211
Co 0.000 0.000 3.998